(1)
HoHfAl4 | PBE | relaxed

```
data_HoHfAl4
_chemical_formula_sum 'Ho1 Hf1 Al4'
_space_group_name_H-M_alt 'P 1'
_space_group_IT_number 1
_cell_length_a 5.408
_cell_length_b 5.408
_cell_length_c 5.408
_cell_angle_alpha 60.00
_cell_angle_beta 60.00
_cell_angle_gamma 60.00
loop_
_space_group_symop_operation_xyz
'x,y,z'
loop_
_atom_site_label
_atom_site_fract_x
_atom_site_fract_y
_atom_site_fract_z
Hf1 0.000 0.000 0.000
Ho1 0.250 0.250 0.250
Al1 0.625 0.625 0.124
Al2 0.625 0.124 0.625
Al3 0.625 0.625 0.625
Al4 0.124 0.625 0.625
```

Values from the calculation:
V, Å³/cell: 111.8
DOS at the Fermi energy, states/eV per cell: 2.339
Total magnetization, μB per formula unit: 0.00
Total energy, eV/cell: -32.23
Calculated formation energy, meV/atom: -454
Crystal system: cubic

=====

(2)
HoHf2Al9 | PBE | relaxed

```
data_HoHf2Al9
_chemical_formula_sum 'Ho1 Hf2 Al9'
_space_group_name_H-M_alt 'P 1'
_space_group_IT_number 1
_cell_length_a 5.339
_cell_length_b 5.339
_cell_length_c 9.293
_cell_angle_alpha 73.30
_cell_angle_beta 73.30
_cell_angle_gamma 60.00
loop_
_space_group_symop_operation_xyz
'x,y,z'
loop_
_atom_site_label
_atom_site_fract_x
_atom_site_fract_y
_atom_site_fract_z
Ho1 0.000 0.000 0.000
Hf1 0.855 0.855 0.435
Hf2 0.145 0.145 0.565
Al1 0.666 0.666 0.002
Al2 0.334 0.334 0.998
Al3 0.500 0.500 0.500
Al4 0.410 0.410 0.261
Al5 0.919 0.410 0.261
Al6 0.410 0.919 0.261
Al7 0.590 0.590 0.739
Al8 0.590 0.081 0.739
Al9 0.081 0.590 0.739
```

Values from the calculation:
V, Å³/cell: 216.4
DOS at the Fermi energy, states/eV per cell: 6.365
Total magnetization, μB per formula unit: 0.00
Total energy, eV/cell: -61.48
Calculated formation energy, meV/atom: -276
Crystal system: trigonal

=====

(3)
Ho4HfAl15 | PBE | relaxed

```
data_Ho4HfAl15
_chemical_formula_sum 'Ho4 Hf1 Al15'
_space_group_name_H-M_alt 'P 1'
_space_group_IT_number 1
_cell_length_a 4.216
_cell_length_b 4.216
_cell_length_c 21.076
_cell_angle_alpha 90.00
_cell_angle_beta 90.00
_cell_angle_gamma 90.00
loop_
_space_group_symop_operation_xyz
'x,y,z'
loop_
_atom_site_label
_atom_site_fract_x
_atom_site_fract_y
_atom_site_fract_z
Ho1 0.000 0.000 0.195
Ho2 0.000 0.000 0.399
Ho3 0.000 0.000 0.601
Ho4 0.000 0.000 0.805
Hf1 0.000 0.000 0.000
Al1 0.500 0.500 0.000
Al2 0.500 0.500 0.196
Al3 0.500 0.500 0.398
Al4 0.500 0.500 0.602
Al5 0.500 0.500 0.804
Al6 0.500 0.000 0.094
Al7 0.500 0.000 0.297
Al8 0.500 0.000 0.500
Al9 0.500 0.000 0.703
Al10 0.500 0.000 0.906
Al11 0.000 0.500 0.094
Al12 0.000 0.500 0.297
Al13 0.000 0.500 0.500
Al14 0.000 0.500 0.703
Al15 0.000 0.500 0.906
```

Values from the calculation:
V, Å³/cell: 374.6
DOS at the Fermi energy, states/eV per cell: 10.641
Total magnetization, μB per formula unit: 0.00
Total energy, eV/cell: -92.48
Calculated formation energy, meV/atom: -404
Crystal system: tetragonal

=====

(4)
HoHf2AlIr4 | PBE | relaxed

```
data_HoHf2AlIr4
_chemical_formula_sum 'Ho1 Hf2 Al1 Ir4'
_space_group_name_H-M_alt 'P 1'
_space_group_IT_number 1
_cell_length_a 4.540
_cell_length_b 4.540
_cell_length_c 8.292
_cell_angle_alpha 74.11
_cell_angle_beta 74.11
_cell_angle_gamma 60.00
loop_
_space_group_symop_operation_xyz
'x,y,z'
loop_
_atom_site_label
_atom_site_fract_x
_atom_site_fract_y
_atom_site_fract_z
Ho1 0.000 0.000 0.000
Hf1 0.756 0.756 0.733
Hf2 0.244 0.244 0.267
Al1 0.500 0.500 0.500
Ir1 0.391 0.391 0.827
Ir2 0.871 0.871 0.388
Ir3 0.129 0.129 0.612
Ir4 0.609 0.609 0.173
```

Values from the calculation:
V, Å³/cell: 140.4
DOS at the Fermi energy, states/eV per cell: 6.161
Total magnetization, μB per formula unit: 0.00
Total energy, eV/cell: -70.61
Calculated formation energy, meV/atom: -868
Crystal system: trigonal

=====

(5)
HoHfMgAl | PBE | relaxed

```
data_HoHfMgAl
_chemical_formula_sum 'Ho1 Hf1 Mg1 Al1'
_space_group_name_H-M_alt 'P 1'
_space_group_IT_number 1
_cell_length_a 4.981
_cell_length_b 4.981
_cell_length_c 4.981
_cell_angle_alpha 60.00
_cell_angle_beta 60.00
_cell_angle_gamma 60.00
loop_
_space_group_symop_operation_xyz
'x,y,z'
loop_
_atom_site_label
_atom_site_fract_x
_atom_site_fract_y
_atom_site_fract_z
Mg1 0.000 0.000 0.000
Hf1 0.250 0.250 0.250
Ho1 0.750 0.750 0.750
Al1 0.500 0.500 0.500
```

Values from the calculation:
V, Å³/cell: 87.4
DOS at the Fermi energy, states/eV per cell: 3.108
Total magnetization, μB per formula unit: 0.00
Total energy, eV/cell: -20.34
Calculated formation energy, meV/atom: -117
Crystal system: cubic

=====

(6)
HoHfAlRe | PBE | relaxed

```
data_HoHfAlRe
_chemical_formula_sum 'Ho1 Hf1 Al1 Re1'
_space_group_name_H-M_alt 'P 1'
_space_group_IT_number 1
_cell_length_a 4.804
_cell_length_b 4.804
_cell_length_c 4.804
_cell_angle_alpha 60.00
_cell_angle_beta 60.00
_cell_angle_gamma 60.00
loop_
_space_group_symop_operation_xyz
'x,y,z'
loop_
_atom_site_label
_atom_site_fract_x
_atom_site_fract_y
_atom_site_fract_z
Re1 0.000 0.000 0.000
Hf1 0.750 0.750 0.750
Ho1 0.250 0.250 0.250
Al1 0.500 0.500 0.500
```

Values from the calculation:
V, Å³/cell: 78.4
DOS at the Fermi energy, states/eV per cell: 1.670
Total magnetization, μB per formula unit: 0.00
Total energy, eV/cell: -31.44
Calculated formation energy, meV/atom: -181
Crystal system: cubic

=====

(7)
HoHfAlRh | PBE | relaxed

```
data_HoHfAlRh
_chemical_formula_sum 'Ho1 Hf1 Al1 Rh1'
_space_group_name_H-M_alt 'P 1'
_space_group_IT_number 1
_cell_length_a 4.826
_cell_length_b 4.826
_cell_length_c 4.826
_cell_angle_alpha 60.00
_cell_angle_beta 60.00
_cell_angle_gamma 60.00
loop_
_space_group_symop_operation_xyz
'x,y,z'
loop_
_atom_site_label
_atom_site_fract_x
_atom_site_fract_y
_atom_site_fract_z
Rh1 0.000 0.000 0.000
Hf1 0.750 0.750 0.750
Ho1 0.250 0.250 0.250
Al1 0.500 0.500 0.500
```

Values from the calculation:
V, Å³/cell: 79.5
DOS at the Fermi energy, states/eV per cell: 2.743
Total magnetization, μB per formula unit: 0.00
Total energy, eV/cell: -27.50
Calculated formation energy, meV/atom: -468
Crystal system: cubic

=====

(8)
HoHfScAl | PBE | relaxed

```
data_HoHfScAl
_chemical_formula_sum 'Ho1 Hf1 Sc1 Al1'
_space_group_name_H-M_alt 'P 1'
_space_group_IT_number 1
_cell_length_a 5.030
_cell_length_b 5.030
_cell_length_c 5.030
_cell_angle_alpha 60.00
_cell_angle_beta 60.00
_cell_angle_gamma 60.00
loop_
_space_group_symop_operation_xyz
'x,y,z'
loop_
_atom_site_label
_atom_site_fract_x
_atom_site_fract_y
_atom_site_fract_z
Sc1 0.000 0.000 0.000
Hf1 0.750 0.750 0.750
Ho1 0.250 0.250 0.250
Al1 0.500 0.500 0.500
```

Values from the calculation:
V, Å³/cell: 90.0
DOS at the Fermi energy, states/eV per cell: 7.064
Total magnetization, μB per formula unit: 0.00
Total energy, eV/cell: -24.72
Calculated formation energy, meV/atom: -28
Crystal system: cubic

=====

(9)
HoHfAlTc | PBE | relaxed

```
data_HoHfAlTc
_chemical_formula_sum 'Ho1 Hf1 Al1 Tc1'
_space_group_name_H-M_alt 'P 1'
_space_group_IT_number 1
_cell_length_a 4.806
_cell_length_b 4.806
_cell_length_c 4.806
_cell_angle_alpha 60.00
_cell_angle_beta 60.00
_cell_angle_gamma 60.00
loop_
_space_group_symop_operation_xyz
'x,y,z'
loop_
_atom_site_label
_atom_site_fract_x
_atom_site_fract_y
_atom_site_fract_z
Al1 0.750 0.750 0.750
Hf1 0.000 0.000 0.000
Ho1 0.500 0.500 0.500
Tc1 0.250 0.250 0.250
```

Values from the calculation:
V, Å³/cell: 78.5
DOS at the Fermi energy, states/eV per cell: 1.997
Total magnetization, μB per formula unit: 0.00
Total energy, eV/cell: -29.67
Calculated formation energy, meV/atom: -257
Crystal system: cubic

=====

(10)
HoHfAlZn | PBE | relaxed

```
data_HoHfAlZn
_chemical_formula_sum 'Ho1 Hf1 Al1 Zn1'
_space_group_name_H-M_alt 'P 1'
_space_group_IT_number 1
_cell_length_a 4.864
_cell_length_b 4.864
_cell_length_c 4.864
_cell_angle_alpha 60.00
_cell_angle_beta 60.00
_cell_angle_gamma 60.00
loop_
_space_group_symop_operation_xyz
'x,y,z'
loop_
_atom_site_label
_atom_site_fract_x
_atom_site_fract_y
_atom_site_fract_z
Zn1 0.000 0.000 0.000
Hf1 0.250 0.250 0.250
Ho1 0.750 0.750 0.750
Al1 0.500 0.500 0.500
```

Values from the calculation:
V, Å³/cell: 81.4
DOS at the Fermi energy, states/eV per cell: 1.507
Total magnetization, μB per formula unit: 0.00
Total energy, eV/cell: -20.56
Calculated formation energy, meV/atom: -254
Crystal system: cubic